Density functional theory data (PBE) for a relaxed NiP crystal.

Unit cell a=3.4683 b=3.4683 c=2.4915 alpha=90.00 beta=90.00 gamma=120.00
Closest atoms and distances in Å follow each position.
Fractional positions:
Ni: 0.0000 0.0000 0.5000  6 P 2.36, 2 Ni 2.49
P: 0.6667 0.3333 0.0000  6 Ni 2.36, 2 P 2.49

DOS at the Fermi energy: 1.799 states/eV/cell
Calculated volume: 26 Å³ per cell
Theoretical density: 5.74 g/cm³
Formation energy: -0.228 eV per atom
Space group: P-6m2, No. 187